K2TlCo | meta-GGA SCAN | PBEsol geometry

```
data_K2TlCo
_symmetry_space_group_name_H-M 'I m m m'
_symmetry_Int_Tables_number 71
_symmetry_space_group_name_Hall '-I 2 2'
_cell_length_a 3.349
_cell_length_b 4.013
_cell_length_c 19.659
_cell_angle_alpha 90.00
_cell_angle_beta 90.00
_cell_angle_gamma 90.00
loop_
_atom_site_label
_atom_site_fract_x
_atom_site_fract_y
_atom_site_fract_z
_atom_site_occupancy
K1 0.000 0.000 0.147 1
Tl1 0.000 0.500 0.000 1
Co1 0.000 0.500 0.500 1
```

Output
calculated total energy	-26.235	eV per atom

=====

KTlCo2 | meta-GGA SCAN | PBEsol geometry

```
data_KTlCo2
_symmetry_space_group_name_H-M 'P 4/m m m'
_symmetry_Int_Tables_number 123
_symmetry_space_group_name_Hall '-P 4 2'
_cell_length_a 5.011
_cell_length_b 5.011
_cell_length_c 2.857
_cell_angle_alpha 90.00
_cell_angle_beta 90.00
_cell_angle_gamma 90.00
loop_
_atom_site_label
_atom_site_fract_x
_atom_site_fract_y
_atom_site_fract_z
_atom_site_occupancy
K1 0.000 0.000 0.000 1
Tl1 0.500 0.500 0.000 1
Co1 0.000 0.500 0.500 1
```

Output
calculated total energy	-27.704	eV per atom

=====

K2TlCo | meta-GGA SCAN | PBEsol geometry

```
data_K2TlCo
_symmetry_space_group_name_H-M 'C m m m'
_symmetry_Int_Tables_number 65
_symmetry_space_group_name_Hall '-C 2 2'
_cell_length_a 5.736
_cell_length_b 9.730
_cell_length_c 4.187
_cell_angle_alpha 90.00
_cell_angle_beta 90.00
_cell_angle_gamma 90.00
loop_
_atom_site_label
_atom_site_fract_x
_atom_site_fract_y
_atom_site_fract_z
_atom_site_occupancy
K1 0.250 0.250 0.000 1
Tl1 0.000 0.000 0.500 1
Co1 0.000 0.500 0.500 1
```

Output
calculated total energy	-26.069	eV per atom

=====

K2TlCo | meta-GGA SCAN | PBEsol geometry

```
data_K2TlCo
_symmetry_space_group_name_H-M 'F -4 3 m'
_symmetry_Int_Tables_number 216
_symmetry_space_group_name_Hall 'F -4 2 3'
_cell_length_a 7.543
_cell_length_b 7.543
_cell_length_c 7.543
_cell_angle_alpha 90.00
_cell_angle_beta 90.00
_cell_angle_gamma 90.00
loop_
_atom_site_label
_atom_site_fract_x
_atom_site_fract_y
_atom_site_fract_z
_atom_site_occupancy
K1 0.000 0.000 0.000 1
K2 0.250 0.250 0.250 1
Tl1 0.250 0.250 0.750 1
Co1 0.000 0.000 0.500 1
```

Output
calculated total energy	-26.016	eV per atom

=====

KCoW | meta-GGA SCAN | PBEsol geometry

```
data_KCoW
_symmetry_space_group_name_H-M 'P 3 m 1'
_symmetry_Int_Tables_number 156
_symmetry_space_group_name_Hall 'P 3 -2"'
_cell_length_a 4.8254
_cell_length_b 4.8254
_cell_length_c 2.5683
_cell_angle_alpha 90.00
_cell_angle_beta 90.00
_cell_angle_gamma 120.00
loop_
_atom_site_label
_atom_site_fract_x
_atom_site_fract_y
_atom_site_fract_z
_atom_site_occupancy
K1 0.0000 0.0000 0.0000 1
Co1 0.6667 0.3333 0.6273 1
W1 0.3333 0.6667 0.3503 1
```

Output
calculated total energy	-29.917	eV per atom

=====

KCoW2 | meta-GGA SCAN | PBEsol geometry

```
data_KCoW2
_symmetry_space_group_name_H-M 'P m m m'
_symmetry_Int_Tables_number 47
_symmetry_space_group_name_Hall '-P 2 2'
_cell_length_a 2.806
_cell_length_b 4.654
_cell_length_c 5.177
_cell_angle_alpha 90.00
_cell_angle_beta 90.00
_cell_angle_gamma 90.00
loop_
_atom_site_label
_atom_site_fract_x
_atom_site_fract_y
_atom_site_fract_z
_atom_site_occupancy
K1 0.000 0.000 0.000 1
Co1 0.500 0.500 0.000 1
W1 0.000 0.500 0.500 1
W2 0.500 0.000 0.500 1
```

Output
calculated total energy	-39.654	eV per atom

=====

KCo2W | meta-GGA SCAN | PBEsol geometry

```
data_KCo2W
_symmetry_space_group_name_H-M 'P 4 m m'
_symmetry_Int_Tables_number 99
_symmetry_space_group_name_Hall 'P 4 -2'
_cell_length_a 2.903
_cell_length_b 2.903
_cell_length_c 8.220
_cell_angle_alpha 90.00
_cell_angle_beta 90.00
_cell_angle_gamma 90.00
loop_
_atom_site_label
_atom_site_fract_x
_atom_site_fract_y
_atom_site_fract_z
_atom_site_occupancy
K1 0.000 0.000 0.000 1
Co1 0.000 0.000 0.557 1
Co2 0.500 0.500 0.685 1
W1 0.500 0.500 0.376 1
```

Output
calculated total energy	-27.244	eV per atom

=====

KCoW2 | meta-GGA SCAN | PBEsol geometry

```
data_KCoW2
_symmetry_space_group_name_H-M 'P 4/m m m'
_symmetry_Int_Tables_number 123
_symmetry_space_group_name_Hall '-P 4 2'
_cell_length_a 3.175
_cell_length_b 3.175
_cell_length_c 8.154
_cell_angle_alpha 90.00
_cell_angle_beta 90.00
_cell_angle_gamma 90.00
loop_
_atom_site_label
_atom_site_fract_x
_atom_site_fract_y
_atom_site_fract_z
_atom_site_occupancy
K1 0.000 0.000 0.000 1
Co1 0.000 0.000 0.500 1
W1 0.500 0.500 0.359 1
```

Output
calculated total energy	-40.070	eV per atom

=====

The records above give, respectively, total moment values of 1.733 3.485 1.672 1.979 1.168 0.731 2.837 2.589 μB/f.u..
The records above give, respectively, energy of formation from the pure elements values of 0.35 1.12 0.51 0.56 1.86 1.60 0.91 1.18 eV per atom.